Compound: Pm4TlB3Rh12
Source: Alexandria
Functional: PBE
Structure: optimized geometry

Calculated values
Formation energy in eV per atom: -0.442

Structure (extended XYZ):
```
20
Lattice="-4.419 4.419 4.419 4.419 -4.419 4.419 4.419 4.419 -4.419" Properties=species:S:1:pos:R:3 pbc="T T T"
Pm 2.209 2.209 -2.209
Pm 2.209 -2.209 2.209
Pm -2.209 2.209 2.209
Pm 2.209 2.209 2.209
Tl 0.000 0.000 0.000
B 4.419 0.000 0.000
B 0.000 4.419 0.000
B 0.000 0.000 4.419
Rh 2.509 0.000 0.000
Rh 6.328 0.000 0.000
Rh 4.419 2.209 0.000
Rh 4.419 0.000 2.209
Rh 0.000 2.509 0.000
Rh 0.000 0.000 2.509
Rh 2.209 4.419 0.000
Rh 2.209 0.000 4.419
Rh 0.000 6.328 0.000
Rh 0.000 0.000 6.328
Rh 0.000 4.419 2.209
Rh 0.000 2.209 4.419
```


Compound: Na6Ho
Source: Alexandria
Functional: PBE
Structure: optimized geometry

Calculated values
Formation energy in eV per atom: 0.577

Structure (extended XYZ):
```
7
Lattice="-4.124 4.124 4.124 4.124 -4.124 4.124 4.124 4.124 -4.124" Properties=species:S:1:pos:R:3 pbc="T T T"
Na 4.124 2.062 0.000
Na 4.124 0.000 2.062
Na 2.062 4.124 0.000
Na 2.062 0.000 4.124
Na 0.000 4.124 2.062
Na 0.000 2.062 4.124
Ho 0.000 0.000 0.000
```